Record 1
# Cr2FePb PBE relaxed
# SG: Cm, No. 8
# Formation energy from the elements: 2.40 eV/f.u.
# Total magnetic moment: 1.93 μB/f.u.
data_Cr2FePb
_chemical_formula_sum 'Cr2 Fe1 Pb1'
_symmetry_space_group_name_H-M 'P 1'
_symmetry_Int_Tables_number 1
_symmetry_space_group_name_Hall 'P 1'
_cell_length_a 4.720
_cell_length_b 4.720
_cell_length_c 4.665
_cell_angle_alpha 73.62
_cell_angle_beta 73.62
_cell_angle_gamma 38.31
loop_
_atom_site_label
_atom_site_fract_x
_atom_site_fract_y
_atom_site_fract_z
_atom_site_occupancy
Pb1 0.252 0.252 0.261 1
Cr1 0.739 0.739 0.770 1
Cr2 0.024 0.024 0.932 1
Fe1 0.484 0.484 0.537 1

=====

Record 2
# CrFePb2S PBE relaxed
# SG: P4/mmm, No. 123
# E_form (uncorrected): 255 kJ/mol of formula units
# Total magnetic moment: 3.40 μB/f.u.
data_CrFePb2S
_chemical_formula_sum 'Cr1 Fe1 Pb2 S1'
_symmetry_space_group_name_H-M 'P 1'
_symmetry_Int_Tables_number 1
_symmetry_space_group_name_Hall 'P 1'
_cell_length_a 5.089
_cell_length_b 4.381
_cell_length_c 5.089
_cell_angle_alpha 90.00
_cell_angle_beta 90.00
_cell_angle_gamma 90.00
loop_
_atom_site_label
_atom_site_fract_x
_atom_site_fract_y
_atom_site_fract_z
_atom_site_occupancy
Fe1 0.000 0.000 0.000 1
Cr1 0.000 0.500 0.000 1
Pb1 0.500 0.000 0.000 1
Pb2 0.000 0.000 0.500 1
S1 0.500 0.500 0.500 1

=====

Record 3
# ScCr2FePb PBE relaxed
# SG: P4/mmm, No. 123
# Formation energy from the elements: 2.75 eV/f.u.
# Total magnetic moment: 4.18 μB/f.u.
data_ScCr2FePb
_chemical_formula_sum 'Sc1 Cr2 Fe1 Pb1'
_symmetry_space_group_name_H-M 'P 1'
_symmetry_Int_Tables_number 1
_symmetry_space_group_name_Hall 'P 1'
_cell_length_a 4.444
_cell_length_b 4.821
_cell_length_c 4.444
_cell_angle_alpha 90.00
_cell_angle_beta 90.00
_cell_angle_gamma 90.00
loop_
_atom_site_label
_atom_site_fract_x
_atom_site_fract_y
_atom_site_fract_z
_atom_site_occupancy
Pb1 0.500 0.500 0.500 1
Sc1 0.000 0.500 0.000 1
Cr1 0.000 0.000 0.500 1
Cr2 0.500 0.000 0.000 1
Fe1 0.000 0.000 0.000 1